# 1
## RhSeN2Cl (PBE-GGA)

Data for crystalline RhSeN2Cl at its relaxed geometry.

a = 3.5367 Å, b = 3.5367 Å, c = 7.5934 Å
α = 90.00°, β = 90.00°, γ = 90.00°
With the nearest neighbours (Å) after each atom.
Fractional positions:
Rh: 0.0000 0.0000 0.0000  4 Se 2.50
Se: 0.5000 0.5000 0.0000  4 Rh 2.50
N: 0.0000 0.5000 0.5000  2 Cl 1.77
N: 0.5000 0.0000 0.5000  2 Cl 1.77
Cl: 0.5000 0.5000 0.5000  4 N 1.77

Results
Its space group is No. 123. The density of states at the Fermi level is 0.72 states/eV per atom. The calculation puts the raw formation energy at 2.1794 eV/atom. The relative energy among the computed polymorphs comes out at 1.1091 eV per atom. The total moment is 0.00 μB/f.u.

# 2
## Li2Pd6C (PBE-GGA)

Data for crystalline Li2Pd6C at its relaxed geometry.

a = 5.6611 Å, b = 5.6611 Å, c = 5.6619 Å
α = 120.00°, β = 120.00°, γ = 60.01°
With the nearest neighbours (Å) after each atom.
Fractional positions:
Li: 0.2499 0.2499 0.2501  12 Pd 2.82-2.84
Li: 0.7501 0.7501 0.7499  12 Pd 2.82-2.84
Pd: 0.2444 0.7547 0.2547  1 C 2.04
Pd: 0.2449 0.2449 0.7440  1 C 2.04
Pd: 0.2453 0.7556 0.7453  1 C 2.04
Pd: 0.7547 0.2444 0.2547  1 C 2.04
Pd: 0.7551 0.7551 0.2560  1 C 2.04
Pd: 0.7556 0.2453 0.7453  1 C 2.04
C: 0.5000 0.5000 0.0000  6 Pd 2.04

Results
Its space group is No. 12. The density of states at the Fermi level is 0.53 states/eV per atom. The energy of formation from the pure elements comes out at -22 kJ per mole of atoms. The total moment is 0.00 μB/f.u.

# 3
## ReAg2H (PBE-GGA)

Data for crystalline ReAg2H at its relaxed geometry.

a = 6.3027 Å, b = 6.3027 Å, c = 6.3027 Å
α = 90.00°, β = 90.00°, γ = 90.00°
With the nearest neighbours (Å) after each atom.
Fractional positions:
Re: 0.0000 0.0000 0.0000  8 Ag 2.73
Re: 0.0000 0.5000 0.5000  8 Ag 2.73
Re: 0.5000 0.0000 0.5000  8 Ag 2.73
Re: 0.5000 0.5000 0.0000  8 Ag 2.73
Ag: 0.2500 0.2500 0.2500  4 Re 2.73, 4 H 2.73
Ag: 0.2500 0.2500 0.7500  4 H 2.73, 4 Re 2.73
Ag: 0.2500 0.7500 0.2500  4 H 2.73, 4 Re 2.73
Ag: 0.2500 0.7500 0.7500  4 H 2.73, 4 Re 2.73
Ag: 0.7500 0.2500 0.2500  4 H 2.73, 4 Re 2.73
Ag: 0.7500 0.2500 0.7500  4 H 2.73, 4 Re 2.73
Ag: 0.7500 0.7500 0.2500  4 H 2.73, 4 Re 2.73
Ag: 0.7500 0.7500 0.7500  4 H 2.73, 4 Re 2.73
H: 0.0000 0.0000 0.5000  8 Ag 2.73
H: 0.0000 0.5000 0.0000  8 Ag 2.73
H: 0.5000 0.0000 0.0000  8 Ag 2.73
H: 0.5000 0.5000 0.5000  8 Ag 2.73

Results
Its space group is No. 225. The density of states at the Fermi level is 0.84 states/eV per atom. The relative energy among the computed polymorphs comes out at 0.4172 eV per atom. The total moment is 2.31 μB/f.u.

> total moment of number 2 (Li2Pd6C)?

0.00 μB/f.u.

> Which value of total moment does entry 3 give?

2.31 μB/f.u.

What did the first record say?
## RhSeN2Cl (PBE-GGA)

Data for crystalline RhSeN2Cl at its relaxed geometry.

a = 3.5367 Å, b = 3.5367 Å, c = 7.5934 Å
α = 90.00°, β = 90.00°, γ = 90.00°
With the nearest neighbours (Å) after each atom.
Fractional positions:
Rh: 0.0000 0.0000 0.0000  4 Se 2.50
Se: 0.5000 0.5000 0.0000  4 Rh 2.50
N: 0.0000 0.5000 0.5000  2 Cl 1.77
N: 0.5000 0.0000 0.5000  2 Cl 1.77
Cl: 0.5000 0.5000 0.5000  4 N 1.77

Results
Its space group is No. 123. The density of states at the Fermi level is 0.72 states/eV per atom. The calculation puts the raw formation energy at 2.1794 eV/atom. The relative energy among the computed polymorphs comes out at 1.1091 eV per atom. The total moment is 0.00 μB/f.u.